[1]
# NaNpHO5 | the Alexandria database | PBE-GGA | relaxed
# V   490.8 Å³ per cell
# DFT total energy   -7.08 eV/atom
data_NaNpHO5
_chemical_formula_sum 'Na4 Np4 H4 O20'
_cell_length_a 6.622
_cell_length_b 9.997
_cell_length_c 7.914
_cell_angle_alpha 90.00
_cell_angle_beta 110.49
_cell_angle_gamma 90.00
_space_group_name_H-M_alt 'C 1 2/c 1'
_space_group_IT_number 15
loop_
_space_group_symop_operation_xyz
'x,y,z'
'-x,-y,-z'
'-x,y,-z+1/2'
'x,-y,z+1/2'
'x+1/2,y+1/2,z'
'-x+1/2,-y+1/2,-z'
'-x+1/2,y+1/2,-z+1/2'
'x+1/2,-y+1/2,z+1/2'
loop_
_atom_site_label
_atom_site_fract_x
_atom_site_fract_y
_atom_site_fract_z
Na1 0.000 0.040 0.250
Np1 0.250 0.250 0.000
H1 0.000 0.313 0.250
O1 0.000 0.208 0.750
O2 0.032 0.303 0.111
O3 0.223 0.074 0.067

***

[2]
# Na2NpHO4 | the Alexandria database | PBE-GGA | relaxed
# V   107.6 Å³ per cell
# DFT total energy   -6.87 eV/atom
data_Na2NpHO4
_chemical_formula_sum 'Na2 Np1 H1 O4'
_cell_length_a 4.979
_cell_length_b 3.596
_cell_length_c 6.007
_cell_angle_alpha 90.00
_cell_angle_beta 90.63
_cell_angle_gamma 90.00
_space_group_name_H-M_alt 'P 1 2/m 1'
_space_group_IT_number 10
loop_
_space_group_symop_operation_xyz
'x,y,z'
'-x,-y,-z'
'-x,y,-z'
'x,-y,z'
loop_
_atom_site_label
_atom_site_fract_x
_atom_site_fract_y
_atom_site_fract_z
Na1 0.000 0.000 0.000
Na2 0.500 0.500 0.000
Np1 0.000 0.500 0.500
H1 0.500 0.000 0.500
O1 0.148 0.500 0.204
O2 0.278 0.000 0.600

***

[3]
# NaNpH2O6 | the Alexandria database | PBE-GGA | relaxed
# V   132.9 Å³ per cell
# DFT total energy   -6.71 eV/atom
data_NaNpH2O6
_chemical_formula_sum 'Na1 Np1 H2 O6'
_cell_length_a 5.255
_cell_length_b 5.283
_cell_length_c 5.707
_cell_angle_alpha 73.76
_cell_angle_beta 70.19
_cell_angle_gamma 64.53
_space_group_name_H-M_alt 'P 1'
_space_group_IT_number 1
loop_
_space_group_symop_operation_xyz
'x,y,z'
loop_
_atom_site_label
_atom_site_fract_x
_atom_site_fract_y
_atom_site_fract_z
Na1 0.000 0.000 0.000
Np1 0.501 0.500 0.500
H1 0.093 0.227 0.349
H2 0.908 0.774 0.650
O1 0.075 0.687 0.728
O2 0.354 0.686 0.226
O3 0.383 0.133 0.504
O4 0.619 0.867 0.495
O5 0.647 0.314 0.773
O6 0.926 0.314 0.271

***

[4]
# Na2NpH12Pd3 | the Alexandria database | PBE-GGA | relaxed
# V   583.9 Å³ per cell
# DFT total energy   -4.07 eV/atom
data_Na2NpH12Pd3
_chemical_formula_sum 'Na6 Np3 H36 Pd9'
_cell_length_a 6.9412
_cell_length_b 6.9412
_cell_length_c 13.9930
_cell_angle_alpha 90.00
_cell_angle_beta 90.00
_cell_angle_gamma 120.00
_space_group_name_H-M_alt 'R -3 m'
_space_group_IT_number 166
_space_group_name_Hall '-R 3 2"'
loop_
_atom_site_label
_atom_site_fract_x
_atom_site_fract_y
_atom_site_fract_z
Na1 0.0000 0.0000 0.1276
Np1 0.0000 0.0000 0.5000
H1 0.0266 0.5133 0.8796
H2 0.0948 0.5474 0.3144
Pd1 0.0000 0.5000 0.0000

***

[5]
# Na2NpH12Rh3 | the Alexandria database | PBE-GGA | relaxed
# V   524.9 Å³ per cell
# DFT total energy   -4.51 eV/atom
data_Na2NpH12Rh3
_chemical_formula_sum 'Na6 Np3 H36 Rh9'
_cell_length_a 6.5112
_cell_length_b 6.5112
_cell_length_c 14.2955
_cell_angle_alpha 90.00
_cell_angle_beta 90.00
_cell_angle_gamma 120.00
_space_group_name_H-M_alt 'R -3 m'
_space_group_IT_number 166
_space_group_name_Hall '-R 3 2"'
loop_
_atom_site_label
_atom_site_fract_x
_atom_site_fract_y
_atom_site_fract_z
Na1 0.0000 0.0000 0.1133
Np1 0.0000 0.0000 0.5000
H1 0.0487 0.5244 0.8846
H2 0.0583 0.5292 0.3115
Rh1 0.0000 0.5000 0.0000

***

[6]
# NaH2O | the Alexandria database | PBE-GGA | relaxed
# V   132.0 Å³ per cell
# DFT total energy   -3.32 eV/atom
# Polymorph energy (0 for the lowest one)   426.5 meV/atom
data_NaH2O
_chemical_formula_sum 'Na4 H8 O4'
_cell_length_a 3.476
_cell_length_b 3.476
_cell_length_c 10.930
_cell_angle_alpha 90.00
_cell_angle_beta 90.00
_cell_angle_gamma 90.00
_space_group_name_H-M_alt 'I 41/a m d'
_space_group_IT_number 141
loop_
_space_group_symop_operation_xyz
'x,y,z'
'-x,-y,-z'
'-y+1/4,x+3/4,z+1/4'
'y+1/4,-x+3/4,-z+1/4'
'-x+1/2,-y,z+1/2'
'x+1/2,y,-z+1/2'
'y+1/4,-x+1/4,z+3/4'
'-y+1/4,x+1/4,-z+3/4'
'x,-y,-z'
'-x,y,z'
'-y+1/4,-x+1/4,-z+3/4'
'y+1/4,x+1/4,z+3/4'
'-x+1/2,y,-z+1/2'
'x+1/2,-y,z+1/2'
'y+1/4,x+3/4,-z+1/4'
'-y+1/4,-x+3/4,z+1/4'
'x+1/2,y+1/2,z+1/2'
'-x+1/2,-y+1/2,-z+1/2'
'-y+3/4,x+1/4,z+3/4'
'y+3/4,-x+1/4,-z+3/4'
'-x,-y+1/2,z'
'x,y+1/2,-z'
'y+3/4,-x+3/4,z+1/4'
'-y+3/4,x+3/4,-z+1/4'
'x+1/2,-y+1/2,-z+1/2'
'-x+1/2,y+1/2,z+1/2'
'-y+3/4,-x+3/4,-z+1/4'
'y+3/4,x+3/4,z+1/4'
'-x,y+1/2,-z'
'x,-y+1/2,z'
'y+3/4,x+1/4,-z+3/4'
'-y+3/4,-x+1/4,z+3/4'
loop_
_atom_site_label
_atom_site_fract_x
_atom_site_fract_y
_atom_site_fract_z
Na1 0.000 0.250 0.375
H1 0.000 0.000 0.000
O1 0.000 0.250 0.875

***

no.,M_tot (μB per formula unit)
1,0.96
2,2.00
3,0.04
4,4.38
5,3.95
6,0.00